[1]
Compound: Li2Ce2TmIn2
Source: Alexandria via LeMat-Bulk
Functional: GGA-PBE
Structure: relaxed

Output
energy = -27.09 eV per formula unit

Structure (POSCAR):
```
Li2Ce2TmIn2
1.0
-4.207 0.684 -1.922
-2.513 -3.652 -1.485
-5.971 -1.648 6.798
In Tm Li Ce
2 1 2 2
direct
0.733 0.733 0.802
0.267 0.267 0.198
0.000 0.000 0.000
0.597 0.597 0.210
0.403 0.403 0.790
0.142 0.142 0.574
0.858 0.858 0.426
```

[2]
Compound: LiCeTm2In4
Source: Alexandria via LeMat-Bulk
Functional: GGA-PBE
Structure: relaxed

Output
energy = -30.66 eV per formula unit

Structure (POSCAR):
```
LiCeTm2In4
1.0
5.190 0.000 0.000
2.595 4.495 0.000
2.595 1.498 8.801
Tm In Ce Li
2 4 1 1
direct
0.247 0.247 0.260
0.753 0.753 0.740
0.379 0.379 0.862
0.872 0.872 0.385
0.621 0.621 0.138
0.128 0.128 0.615
0.000 0.000 0.000
0.500 0.500 0.500
```

[3]
Compound: LiCe2TmIn4
Source: Alexandria via LeMat-Bulk
Functional: GGA-PBE
Structure: relaxed

Output
energy = -32.01 eV per formula unit

Structure (POSCAR):
```
LiCe2TmIn4
1.0
-1.661 -4.105 2.860
2.670 -1.468 4.302
-4.562 3.522 7.264
In Ce Li Tm
4 2 1 1
direct
0.377 0.377 0.870
0.126 0.126 0.621
0.623 0.623 0.130
0.874 0.874 0.379
0.247 0.247 0.259
0.753 0.753 0.741
0.500 0.500 0.500
0.000 0.000 0.000
```

[4]
Compound: Li2Ce2YIn2
Source: Alexandria via LeMat-Bulk
Functional: GGA-PBE
Structure: relaxed

Output
energy = -29.24 eV per formula unit

Structure (POSCAR):
```
Li2Ce2YIn2
1.0
-3.186 -2.822 1.897
0.360 -1.245 4.476
-5.840 5.773 4.502
Li Y In Ce
2 1 2 2
direct
0.592 0.592 0.225
0.408 0.408 0.775
0.000 0.000 0.000
0.734 0.734 0.797
0.266 0.266 0.203
0.857 0.857 0.429
0.143 0.143 0.571
```

[5]
Compound: Li2CeY2In2
Source: Alexandria via LeMat-Bulk
Functional: GGA-PBE
Structure: relaxed

Output
energy = -29.52 eV per formula unit

Structure (POSCAR):
```
Li2CeY2In2
1.0
-4.355 -0.631 2.217
-3.966 -1.213 -2.660
-0.951 -9.118 1.012
Li Y In Ce
2 2 2 1
direct
0.600 0.600 0.201
0.400 0.400 0.799
0.127 0.127 0.618
0.873 0.873 0.382
0.261 0.261 0.217
0.739 0.739 0.783
0.000 0.000 0.000
```

[6]
Compound: LiCeYIn
Source: Alexandria via LeMat-Bulk
Functional: GGA-PBE
Structure: relaxed

Output
energy = -17.71 eV per formula unit

Structure (POSCAR):
```
LiCeYIn
1.0
-0.879 4.075 3.344
-5.005 1.450 1.189
-1.962 -0.926 4.884
Li Y Ce In
1 1 1 1
direct
0.000 0.000 0.000
0.750 0.750 0.750
0.250 0.250 0.250
0.500 0.500 0.500
```

[7]
Compound: CeLuIn4
Source: Alexandria via LeMat-Bulk
Functional: GGA-PBE
Structure: relaxed

Output
energy = -22.92 eV per formula unit

Structure (POSCAR):
```
CeLuIn4
1.0
-5.090 -3.236 -0.140
-0.349 -4.927 -3.465
-0.168 -5.470 2.541
In Ce Lu
4 1 1
direct
0.625 0.625 0.125
0.625 0.125 0.625
0.625 0.625 0.625
0.125 0.625 0.625
0.000 0.000 0.000
0.250 0.250 0.250
```

[8]
Compound: CeLuIn2
Source: Alexandria via LeMat-Bulk
Functional: GGA-PBE
Structure: relaxed

Output
energy = -16.87 eV per formula unit

Structure (POSCAR):
```
CeLuIn2
1.0
3.493 0.000 0.000
1.747 3.025 0.000
1.747 1.008 10.422
Lu Ce In
1 1 2
direct
0.000 0.000 0.000
0.500 0.500 0.500
0.253 0.253 0.240
0.747 0.747 0.760
```

[9]
Compound: CeLuIn2
Source: Alexandria via LeMat-Bulk
Functional: GGA-PBE
Structure: relaxed

Output
energy = -17.38 eV per formula unit

Structure (POSCAR):
```
CeLuIn2
1.0
4.547 0.000 0.000
0.000 4.851 0.000
0.000 0.000 4.851
Lu In Ce
1 2 1
direct
0.500 0.000 0.000
0.000 0.500 0.000
0.000 0.000 0.500
0.500 0.500 0.500
```

[10]
Compound: CeLuMgIn
Source: Alexandria via LeMat-Bulk
Functional: GGA-PBE
Structure: relaxed

Output
energy = -15.64 eV per formula unit

Structure (POSCAR):
```
CeLuMgIn
1.0
-4.922 -1.563 -1.317
-0.706 -4.399 -2.924
-2.092 -4.369 2.221
Mg Ce Lu In
1 1 1 1
direct
0.000 0.000 0.000
0.750 0.750 0.750
0.250 0.250 0.250
0.500 0.500 0.500
```

[11]
Compound: CeLuMnIn
Source: Alexandria via LeMat-Bulk
Functional: GGA-PBE
Structure: relaxed

Output
energy = -22.50 eV per formula unit

Structure (POSCAR):
```
CeLuMnIn
1.0
5.179 0.000 0.000
2.589 4.485 0.000
2.589 1.495 4.228
Ce In Mn Lu
1 1 1 1
direct
0.750 0.750 0.750
0.500 0.500 0.500
0.000 0.000 0.000
0.250 0.250 0.250
```

[12]
Compound: CeNdLuIn
Source: Alexandria via LeMat-Bulk
Functional: GGA-PBE
Structure: relaxed

Output
energy = -18.21 eV per formula unit

Structure (POSCAR):
```
CeNdLuIn
1.0
5.422 0.000 0.000
2.711 4.696 0.000
2.711 1.565 4.427
Ce In Nd Lu
1 1 1 1
direct
0.750 0.750 0.750
0.250 0.250 0.250
0.500 0.500 0.500
0.000 0.000 0.000
```

[13]
Compound: CeLuInPb
Source: Alexandria via LeMat-Bulk
Functional: GGA-PBE
Structure: relaxed

Output
energy = -18.25 eV per formula unit

Structure (POSCAR):
```
CeLuInPb
1.0
-0.253 3.558 4.065
-4.030 -0.284 3.596
1.004 -1.606 5.066
Lu In Ce Pb
1 1 1 1
direct
0.000 0.000 0.000
0.250 0.250 0.250
0.500 0.500 0.500
0.750 0.750 0.750
```

[14]
Compound: CeLuInPd
Source: Alexandria via LeMat-Bulk
Functional: GGA-PBE
Structure: relaxed

Output
energy = -20.34 eV per formula unit

Structure (POSCAR):
```
CeLuInPd
1.0
5.181 0.000 0.000
2.590 4.487 0.000
2.590 1.496 4.230
Lu Ce Pd In
1 1 1 1
direct
0.250 0.250 0.250
0.750 0.750 0.750
0.000 0.000 0.000
0.500 0.500 0.500
```

[15]
Compound: CePrLuIn
Source: Alexandria via LeMat-Bulk
Functional: GGA-PBE
Structure: relaxed

Output
energy = -18.21 eV per formula unit

Structure (POSCAR):
```
CePrLuIn
1.0
-2.371 3.707 -3.198
-5.376 -0.151 -0.817
-3.191 3.829 2.178
Lu Pr Ce In
1 1 1 1
direct
0.500 0.500 0.500
0.000 0.000 0.000
0.750 0.750 0.750
0.250 0.250 0.250
```

[16]
Compound: CeLuPuIn
Source: Alexandria via LeMat-Bulk
Functional: GGA-PBE
Structure: relaxed

Output
energy = -27.69 eV per formula unit

Structure (POSCAR):
```
CeLuPuIn
1.0
5.306 0.000 0.000
2.653 4.595 0.000
2.653 1.532 4.332
Lu Ce Pu In
1 1 1 1
direct
0.500 0.500 0.500
0.250 0.250 0.250
0.000 0.000 0.000
0.750 0.750 0.750
```

[17]
Compound: CeLuInRh
Source: Alexandria via LeMat-Bulk
Functional: GGA-PBE
Structure: relaxed

Output
energy = -22.37 eV per formula unit

Structure (POSCAR):
```
CeLuInRh
1.0
-1.124 -4.417 -2.297
2.851 -4.138 0.893
-1.909 -3.876 2.718
In Lu Rh Ce
1 1 1 1
direct
0.500 0.500 0.500
0.250 0.250 0.250
0.000 0.000 0.000
0.750 0.750 0.750
```

[18]
Compound: CeLuInRu
Source: Alexandria via LeMat-Bulk
Functional: GGA-PBE
Structure: relaxed

Output
energy = -23.50 eV per formula unit

Structure (POSCAR):
```
CeLuInRu
1.0
-1.668 4.446 1.782
-3.275 0.113 3.871
1.515 1.635 4.556
Ru Lu In Ce
1 1 1 1
direct
0.250 0.250 0.250
0.000 0.000 0.000
0.750 0.750 0.750
0.500 0.500 0.500
```

[19]
Compound: CeLuScIn
Source: Alexandria via LeMat-Bulk
Functional: GGA-PBE
Structure: relaxed

Output
energy = -19.81 eV per formula unit

Structure (POSCAR):
```
CeLuScIn
1.0
5.227 0.000 0.000
2.614 4.527 0.000
2.614 1.509 4.268
In Lu Ce Sc
1 1 1 1
direct
0.500 0.500 0.500
0.250 0.250 0.250
0.000 0.000 0.000
0.750 0.750 0.750
```

[20]
Compound: CeLuInTc
Source: Alexandria via LeMat-Bulk
Functional: GGA-PBE
Structure: relaxed

Output
energy = -24.06 eV per formula unit

Structure (POSCAR):
```
CeLuInTc
1.0
5.066 0.000 0.000
2.533 4.387 0.000
2.533 1.462 4.136
Lu In Tc Ce
1 1 1 1
direct
0.500 0.500 0.500
0.750 0.750 0.750
0.250 0.250 0.250
0.000 0.000 0.000
```

[21]
Compound: CeLuTiIn
Source: Alexandria via LeMat-Bulk
Functional: GGA-PBE
Structure: relaxed

Output
energy = -21.25 eV per formula unit

Structure (POSCAR):
```
CeLuTiIn
1.0
-0.304 -4.253 3.053
2.469 -4.411 -1.395
4.210 -1.609 2.682
In Ti Lu Ce
1 1 1 1
direct
0.750 0.750 0.750
0.250 0.250 0.250
0.500 0.500 0.500
0.000 0.000 0.000
```

[22]
Compound: CeLuTlIn
Source: Alexandria via LeMat-Bulk
Functional: GGA-PBE
Structure: relaxed

Output
energy = -16.79 eV per formula unit

Structure (POSCAR):
```
CeLuTlIn
1.0
5.378 0.000 0.000
2.689 4.657 0.000
2.689 1.552 4.391
In Ce Tl Lu
1 1 1 1
direct
0.500 0.500 0.500
0.750 0.750 0.750
0.000 0.000 0.000
0.250 0.250 0.250
```

[23]
Compound: CeTmLuIn
Source: Alexandria via LeMat-Bulk
Functional: GGA-PBE
Structure: relaxed

Output
energy = -17.85 eV per formula unit

Structure (POSCAR):
```
CeTmLuIn
1.0
-4.271 1.556 2.784
-4.852 -1.728 -1.375
-2.569 -3.485 3.111
Lu Tm Ce In
1 1 1 1
direct
0.000 0.000 0.000
0.500 0.500 0.500
0.750 0.750 0.750
0.250 0.250 0.250
```

[24]
Compound: CeYLuIn
Source: Alexandria via LeMat-Bulk
Functional: GGA-PBE
Structure: relaxed

Output
energy = -20.12 eV per formula unit

Structure (POSCAR):
```
CeYLuIn
1.0
5.441 0.000 0.000
2.721 4.712 0.000
2.721 1.571 4.443
Lu Ce In Y
1 1 1 1
direct
0.250 0.250 0.250
0.500 0.500 0.500
0.750 0.750 0.750
0.000 0.000 0.000
```

[25]
Compound: CeMg2In3
Source: Alexandria via LeMat-Bulk
Functional: GGA-PBE
Structure: relaxed

Output
energy = -18.70 eV per formula unit

Structure (POSCAR):
```
CeMg2In3
1.0
-2.619 -4.368 -0.369
4.832 -0.052 1.649
-4.290 1.507 12.617
In Mg Ce
6 4 2
direct
0.000 0.000 0.000
0.333 0.667 0.366
0.667 0.333 0.634
0.667 0.333 0.866
0.000 0.000 0.500
0.333 0.667 0.134
0.667 0.333 0.388
0.333 0.667 0.612
0.667 0.333 0.112
0.333 0.667 0.888
0.000 0.000 0.750
0.000 0.000 0.250
```

[26]
Compound: CeMg5In5
Source: Alexandria via LeMat-Bulk
Functional: GGA-PBE
Structure: relaxed

Output
energy = -27.59 eV per formula unit

Structure (POSCAR):
```
CeMg5In5
1.0
5.606 0.000 0.000
-2.803 4.855 0.000
0.000 0.000 10.447
In Mg Ce
5 5 1
direct
0.000 0.000 0.000
0.667 0.333 0.176
0.333 0.667 0.337
0.333 0.667 0.663
0.667 0.333 0.824
0.000 0.000 0.741
0.000 0.000 0.259
0.832 0.664 0.500
0.336 0.168 0.500
0.832 0.168 0.500
0.333 0.667 0.000
```

[27]
Compound: Ce3MgIn5
Source: Alexandria via LeMat-Bulk
Functional: GGA-PBE
Structure: relaxed

Output
energy = -35.84 eV per formula unit

Structure (POSCAR):
```
Ce3MgIn5
1.0
-5.787 -2.815 1.141
-0.274 -2.995 -8.774
3.863 -5.273 6.581
In Ce Mg
10 6 2
direct
0.250 0.695 0.695
0.500 0.667 0.333
0.000 0.333 0.667
0.500 0.333 0.667
0.250 0.000 0.305
0.750 0.000 0.695
0.250 0.305 0.000
0.750 0.695 0.000
0.750 0.305 0.305
0.000 0.667 0.333
0.250 0.359 0.359
0.750 0.641 0.641
0.250 0.000 0.641
0.250 0.641 0.000
0.750 0.000 0.359
0.750 0.359 0.000
0.000 0.000 0.000
0.500 0.000 0.000
```